Record 1
A plane-wave DFT calculation with PBE was carried out for an optimized crystal structure of BaHgRhPb2.

abc: 5.344 5.344 5.374
angles: 90.00 90.00 90.00
Fractional coordinates of all 5 atoms:
Ba1 0.000 0.000 0.000
Hg1 0.500 0.500 0.000
Rh1 0.500 0.500 0.500
Pb1 0.000 0.500 0.500
Pb2 0.500 0.000 0.500

The crystal system is tetragonal. As for the calculated formation energy: -0.2096 eV per atom. The energy above the lowest structure with this stoichiometry comes out at 0 meV/atom. For the density, the calculation gives 9.25 Mg/m³.

***

Record 2
A plane-wave DFT calculation with PBE was carried out for an optimized crystal structure of LaMnTl2.

abc: 10.412 10.412 10.412
angles: 19.63 19.63 19.63
Fractional coordinates of all 4 atoms:
La1 0.000 0.000 0.000
Mn1 0.255 0.255 0.255
Tl1 0.517 0.517 0.517
Tl2 0.761 0.761 0.761

The crystal system is trigonal. As for the calculated formation energy: 0.2679 eV per atom. For the density, the calculation gives 8.98 Mg/m³.

***

Record 3
A plane-wave DFT calculation with PBE was carried out for an optimized crystal structure of TbAgTe2.

abc: 7.126 7.126 4.749
angles: 90.00 90.00 90.00
Fractional coordinates of all 8 atoms:
Tb1 0.000 0.500 0.189
Tb2 0.500 0.000 0.811
Ag1 0.000 0.000 0.000
Ag2 0.500 0.500 0.000
Te1 0.202 0.702 0.709
Te2 0.298 0.202 0.291
Te3 0.702 0.798 0.291
Te4 0.798 0.298 0.709

The crystal system is tetragonal. Its raw formation energy is -0.9172 eV per atom. For the density, the calculation gives 7.19 Mg/m³.

***

Record 4
A plane-wave DFT calculation with PBE was carried out for an optimized crystal structure of Pm3HfN4.

abc: 6.068 6.068 3.480
angles: 90.00 90.00 109.08
Fractional coordinates of all 8 atoms:
Pm1 0.000 0.000 0.000
Pm2 0.000 0.500 0.500
Pm3 0.500 0.000 0.500
Hf1 0.500 0.500 0.000
N1 0.267 0.733 0.000
N2 0.276 0.276 0.500
N3 0.724 0.724 0.500
N4 0.733 0.267 0.000

The crystal system is orthorhombic. Its raw formation energy is -1.5219 eV per atom. For the density, the calculation gives 9.18 Mg/m³.

***

Record 5
A plane-wave DFT calculation with PBE was carried out for an optimized crystal structure of K2RbTcBr8.

abc: 6.162 7.303 9.603
angles: 89.91 73.25 89.45
Fractional coordinates of all 12 atoms:
K1 0.174 0.004 0.186
K2 0.826 0.996 0.814
Rb1 0.500 0.500 0.500
Tc1 0.500 0.500 0.000
Br1 0.163 0.500 0.228
Br2 0.252 0.000 0.507
Br3 0.322 0.746 0.880
Br4 0.326 0.257 0.878
Br5 0.674 0.743 0.122
Br6 0.678 0.254 0.120
Br7 0.748 0.000 0.493
Br8 0.837 0.500 0.772

The crystal system is triclinic. Its raw formation energy is -1.0319 eV per atom. For the density, the calculation gives 3.62 Mg/m³.

***

Record 6
A plane-wave DFT calculation with PBE was carried out for an optimized crystal structure of KB2Au.

abc: 7.349 7.349 7.349
angles: 139.02 139.02 59.34
Fractional coordinates of all 8 atoms:
K1 0.375 0.625 0.750
K2 0.625 0.375 0.250
B1 0.000 0.000 0.000
B2 0.000 0.000 0.500
B3 0.000 0.500 0.000
B4 0.500 0.000 0.500
Au1 0.125 0.875 0.250
Au2 0.875 0.125 0.750

The crystal system is tetragonal. As for the calculated formation energy: 0.7888 eV per atom. The energy above the lowest structure with this stoichiometry comes out at 0 meV/atom. For the density, the calculation gives 5.06 Mg/m³.